The following is a DFT calculation (PBE) of an optimized crystal structure of La4YEr10.

a = 10.628 Å, b = 8.719 Å, c = 8.719 Å
α = 68.20°, β = 52.45°, γ = 52.45°
Element x y z (fractional)
La 0.337 0.731 0.595
La 0.932 0.405 0.731
La 0.068 0.595 0.269
La 0.663 0.269 0.405
Y 0.000 0.000 0.000
Er 0.250 0.500 0.500
Er 0.548 0.322 0.904
Er 0.130 0.096 0.322
Er 0.548 0.904 0.678
Er 0.774 0.678 0.096
Er 0.452 0.678 0.096
Er 0.750 0.500 0.500
Er 0.226 0.322 0.904
Er 0.452 0.096 0.322
Er 0.870 0.904 0.678

Output
- VASP energy: -4.42 eV per atom
- M_tot: 0.00 μB per formula unit
- DFT formation energy: 0.368 eV per atom